Record 1
# PBEsol YScP2, relaxed
data_YScP2
_chemical_formula_sum 'Y1 Sc1 P2'
_cell_length_a 3.850
_cell_length_b 3.850
_cell_length_c 5.435
_cell_angle_alpha 90.00
_cell_angle_beta 90.00
_cell_angle_gamma 90.00
_space_group_name_H-M_alt 'P 1'
_space_group_IT_number 1
_space_group_name_Hall 'P 1'
loop_
_atom_site_label
_atom_site_type_symbol
_atom_site_fract_x
_atom_site_fract_y
_atom_site_fract_z
Y1 Y 0.000 0.000 0.000
Sc1 Sc 0.500 0.500 0.500
P1 P 0.000 0.000 0.500
P2 P 0.500 0.500 0.000
# energy relative to the elements: -1546 meV per atom
# energy above the lowest structure with this stoichiometry: 13 kJ/mol of formula units
# symmetry: P4/mmm (123)

Record 2
# PBEsol YScP, relaxed
data_YScP
_chemical_formula_sum 'Y1 Sc1 P1'
_cell_length_a 4.557
_cell_length_b 4.557
_cell_length_c 4.557
_cell_angle_alpha 60.00
_cell_angle_beta 60.00
_cell_angle_gamma 60.00
_space_group_name_H-M_alt 'P 1'
_space_group_IT_number 1
_space_group_name_Hall 'P 1'
loop_
_atom_site_label
_atom_site_type_symbol
_atom_site_fract_x
_atom_site_fract_y
_atom_site_fract_z
Y1 Y 0.000 0.000 0.000
Sc1 Sc 0.750 0.750 0.750
P1 P 0.500 0.500 0.500
# energy relative to the elements: 100 meV per atom
# symmetry: F-43m (216)

Record 3
# PBEsol YSc2P, relaxed
data_YSc2P
_chemical_formula_sum 'Y1 Sc2 P1'
_cell_length_a 9.619
_cell_length_b 9.619
_cell_length_c 9.619
_cell_angle_alpha 21.01
_cell_angle_beta 21.01
_cell_angle_gamma 21.01
_space_group_name_H-M_alt 'P 1'
_space_group_IT_number 1
_space_group_name_Hall 'P 1'
loop_
_atom_site_label
_atom_site_type_symbol
_atom_site_fract_x
_atom_site_fract_y
_atom_site_fract_z
Y1 Y 0.000 0.000 0.000
Sc1 Sc 0.114 0.114 0.114
Sc2 Sc 0.886 0.886 0.886
P1 P 0.500 0.500 0.500
# energy relative to the elements: -498 meV per atom
# symmetry: R-3m (166)

Record 4
# PBEsol YSc2P, relaxed
data_YSc2P
_chemical_formula_sum 'Y1 Sc2 P1'
_cell_length_a 5.544
_cell_length_b 5.544
_cell_length_c 5.544
_cell_angle_alpha 136.15
_cell_angle_beta 136.15
_cell_angle_gamma 63.75
_space_group_name_H-M_alt 'P 1'
_space_group_IT_number 1
_space_group_name_Hall 'P 1'
loop_
_atom_site_label
_atom_site_type_symbol
_atom_site_fract_x
_atom_site_fract_y
_atom_site_fract_z
Y1 Y 0.000 0.000 0.000
Sc1 Sc 0.250 0.750 0.500
Sc2 Sc 0.500 0.500 0.000
P1 P 0.750 0.250 0.500
# energy relative to the elements: -437 meV per atom
# symmetry: I-4m2 (119)

Record 5
# PBEsol ScZnP2, relaxed
data_ScZnP2
_chemical_formula_sum 'Sc1 Zn1 P2'
_cell_length_a 6.179
_cell_length_b 6.179
_cell_length_c 6.179
_cell_angle_alpha 34.91
_cell_angle_beta 34.91
_cell_angle_gamma 34.91
_space_group_name_H-M_alt 'P 1'
_space_group_IT_number 1
_space_group_name_Hall 'P 1'
loop_
_atom_site_label
_atom_site_type_symbol
_atom_site_fract_x
_atom_site_fract_y
_atom_site_fract_z
Sc1 Sc 0.000 0.000 0.000
Zn1 Zn 0.500 0.500 0.500
P1 P 0.246 0.246 0.246
P2 P 0.754 0.754 0.754
# energy relative to the elements: -512 meV per atom
# symmetry: R-3m (166)

Record 6
# PBEsol Sc3ZnP, relaxed
data_Sc3ZnP
_chemical_formula_sum 'Sc3 Zn1 P1'
_cell_length_a 4.844
_cell_length_b 4.844
_cell_length_c 4.844
_cell_angle_alpha 90.00
_cell_angle_beta 90.00
_cell_angle_gamma 90.00
_space_group_name_H-M_alt 'P 1'
_space_group_IT_number 1
_space_group_name_Hall 'P 1'
loop_
_atom_site_label
_atom_site_type_symbol
_atom_site_fract_x
_atom_site_fract_y
_atom_site_fract_z
Sc1 Sc 0.000 0.000 0.500
Sc2 Sc 0.000 0.500 0.000
Sc3 Sc 0.500 0.000 0.000
Zn1 Zn 0.000 0.000 0.000
P1 P 0.500 0.500 0.500
# energy relative to the elements: 123 meV per atom
# symmetry: Pm-3m (221)

Record 7
# PBEsol ScZnP2, relaxed
data_ScZnP2
_chemical_formula_sum 'Sc1 Zn1 P2'
_cell_length_a 5.150
_cell_length_b 5.150
_cell_length_c 3.800
_cell_angle_alpha 102.02
_cell_angle_beta 102.02
_cell_angle_gamma 40.77
_space_group_name_H-M_alt 'P 1'
_space_group_IT_number 1
_space_group_name_Hall 'P 1'
loop_
_atom_site_label
_atom_site_type_symbol
_atom_site_fract_x
_atom_site_fract_y
_atom_site_fract_z
Sc1 Sc 0.000 0.000 0.000
Zn1 Zn 0.242 0.242 0.627
P1 P 0.470 0.470 0.488
P2 P 0.715 0.715 0.050
# energy relative to the elements: -610 meV per atom
# symmetry: Cm (8)

Record 8
# PBEsol ScZnP2, relaxed
data_ScZnP2
_chemical_formula_sum 'Sc1 Zn1 P2'
_cell_length_a 3.610
_cell_length_b 3.610
_cell_length_c 5.217
_cell_angle_alpha 90.00
_cell_angle_beta 90.00
_cell_angle_gamma 90.00
_space_group_name_H-M_alt 'P 1'
_space_group_IT_number 1
_space_group_name_Hall 'P 1'
loop_
_atom_site_label
_atom_site_type_symbol
_atom_site_fract_x
_atom_site_fract_y
_atom_site_fract_z
Sc1 Sc 0.000 0.000 0.000
Zn1 Zn 0.500 0.500 0.402
P1 P 0.000 0.000 0.489
P2 P 0.500 0.500 0.916
# energy relative to the elements: -565 meV per atom
# symmetry: P4mm (99)

Number 1: E -7.7986 eV per atom. Number 2: E -6.3064 eV per atom. Number 3: E -6.9538 eV per atom. Number 4: E -6.8930 eV per atom. Number 5: E -5.4549 eV per atom. Number 6: E -5.3148 eV per atom. Number 7: E -5.5523 eV per atom. Number 8: E -5.5077 eV per atom.